(1)
This record from Alexandria describes a geometry-optimized KBa2US6 structure. The functional is PBE.

Geometry as extended XYZ:
```
20
Lattice="-7.289 -0.309 1.429 -1.290 -3.106 -7.255 0.464 -9.563 4.011" Properties=species:S:1:pos:R:3 pbc="T T T"
S -1.197 -8.817 0.099
S -6.712 -11.436 -0.649
K -0.413 -6.334 -1.622
S -1.642 -4.915 0.878
S -6.473 -8.063 -2.694
S -2.860 -2.644 -4.285
Ba -3.835 -3.699 -1.439
S -4.853 -6.567 1.343
S -3.262 -6.411 -3.159
S -6.919 -4.161 -1.915
S -1.403 -1.541 -1.167
K -3.644 -0.154 0.714
S -4.580 -3.003 1.581
U -0.645 -1.553 -3.628
Ba -6.808 -7.577 3.752
Ba -4.281 -9.278 -0.377
S -5.255 -10.334 2.469
Ba -1.308 -5.400 -5.567
S -3.536 -9.975 -3.396
U -3.412 -4.936 2.720
```

Values from the calculation:
- Magnetization: 2.12 Bohr magnetons per cell
- VASP energy: -5.568 eV/atom
- Uncorrected formation energy: -1.47 eV per atom



(2)
This record from Alexandria describes a geometry-optimized Dy2InCo structure. The functional is PBE.

Geometry as extended XYZ:
```
16
Lattice="-1.958 1.249 5.312 -2.095 -8.002 1.110 8.313 2.505 2.476" Properties=species:S:1:pos:R:3 pbc="T T T"
Dy -0.229 -6.068 2.924
Dy 5.716 -0.967 3.917
In 2.654 -0.122 4.171
Dy 4.669 -4.968 4.472
Dy -0.409 0.720 4.425
In 2.585 -4.748 2.070
In 1.674 0.500 6.827
Dy 0.819 -2.067 2.371
In 1.606 -4.126 4.726
Co 3.512 -2.618 3.494
Dy 3.441 -2.181 6.526
Dy 4.488 1.820 5.973
Dy -1.457 -3.281 4.980
Co -0.302 -5.630 5.961
Co 0.748 -1.630 5.403
Co 4.561 1.382 2.936
```

Values from the calculation:
- Formation enthalpy at 0 K: -152 meV/atom
- Magnetization: 0.00 Bohr magnetons per cell
- VASP energy: -4.914 eV/atom



(3)
This record from Alexandria describes a geometry-optimized V2InCo2 structure. The functional is PBE.

Geometry as extended XYZ:
```
5
Lattice="-0.064 -0.125 3.953 2.607 -2.974 -0.051 4.800 1.542 2.105" Properties=species:S:1:pos:R:3 pbc="T T T"
V 3.004 -0.066 4.004
Co 5.232 -0.743 4.019
In 0.000 0.000 0.000
V 4.339 -1.491 2.002
Co 2.111 -0.814 1.987
```

Values from the calculation:
- Formation enthalpy at 0 K: 51 meV/atom
- Magnetization: 0.00 Bohr magnetons per cell
- VASP energy: -6.986 eV/atom



(4)
This record from Alexandria describes a geometry-optimized Nd3Be2Ir3 structure. The functional is PBE.

Geometry as extended XYZ:
```
16
Lattice="4.024 0.000 0.000 -2.012 5.526 0.000 0.000 0.000 14.775" Properties=species:S:1:pos:R:3 pbc="T T T"
Ir 2.012 2.540 11.081
Be 2.012 3.835 9.068
Ir 2.012 0.990 0.814
Be 0.000 1.691 1.681
Nd 2.012 0.819 3.694
Be 0.000 1.691 5.707
Ir 0.000 4.536 13.961
Nd 2.012 3.932 5.933
Ir 2.012 0.990 6.574
Nd 0.000 1.594 13.321
Nd 0.000 4.707 11.081
Nd 0.000 1.594 8.841
Ir 0.000 4.536 8.201
Be 2.012 3.835 13.094
Nd 2.012 3.932 1.454
Ir 0.000 2.986 3.694
```

Values from the calculation:
- Formation enthalpy at 0 K: -516 meV/atom
- Magnetization: 0.00 Bohr magnetons per cell
- VASP energy: -6.559 eV/atom



(5)
This record from Alexandria describes a geometry-optimized LaY2Ge structure. The functional is PBE.

Geometry as extended XYZ:
```
8
Lattice="-4.834 -4.437 5.925 5.724 -6.727 -0.367 2.151 -4.261 5.159" Properties=species:S:1:pos:R:3 pbc="T T T"
La 0.000 0.000 0.000
Y 3.202 -6.108 2.179
Ge 0.445 -5.582 2.779
La -1.119 -7.140 6.932
Ge 4.160 -8.285 3.786
Y -1.459 -4.396 4.569
Y 2.027 -12.534 8.756
Y 2.312 -7.812 5.930
```

Values from the calculation:
- Formation enthalpy at 0 K: -159 meV/atom
- Magnetization: 0.00 Bohr magnetons per cell
- VASP energy: -5.778 eV/atom



(6)
This record from Alexandria describes a geometry-optimized NdHoTlRh structure. The functional is PBE.

Geometry as extended XYZ:
```
4
Lattice="3.532 0.000 0.000 0.000 3.532 0.000 0.000 0.000 7.950" Properties=species:S:1:pos:R:3 pbc="T T T"
Ho 1.766 1.766 2.873
Rh 0.000 0.000 4.396
Tl 0.000 0.000 0.675
Nd 1.766 1.766 6.244
```

Values from the calculation:
- Formation enthalpy at 0 K: -568 meV/atom
- Magnetization: 0.00 Bohr magnetons per cell
- VASP energy: -5.334 eV/atom



(7)
This record from Alexandria describes a geometry-optimized Rb2Bi2Cl structure. The functional is PBE.

Geometry as extended XYZ:
```
5
Lattice="-1.970 -6.627 1.897 6.610 -1.256 2.477 0.960 -2.254 6.670" Properties=species:S:1:pos:R:3 pbc="T T T"
Rb 0.655 -6.411 5.377
Rb 4.945 -3.726 5.667
Cl 0.000 0.000 0.000
Bi 1.942 -3.472 3.433
Bi 3.658 -6.665 7.610
```

Values from the calculation:
- Magnetization: 0.00 Bohr magnetons per cell
- VASP energy: -2.708 eV/atom
- Uncorrected formation energy: -0.40 eV per atom



(8)
This record from Alexandria describes a geometry-optimized LuMn4W structure. The functional is PBE.

Geometry as extended XYZ:
```
6
Lattice="-1.434 -1.278 -4.498 -4.583 -1.529 -0.764 -3.143 2.827 -2.460" Properties=species:S:1:pos:R:3 pbc="T T T"
Lu -2.290 0.005 -1.930
Mn -3.432 0.779 -4.445
Mn -5.727 0.013 -4.828
W 0.000 0.000 0.000
Mn -5.009 0.653 -2.575
Mn -4.153 -1.403 -3.596
```

Values from the calculation:
- Formation enthalpy at 0 K: 48 meV/atom
- Magnetization: 3.75 Bohr magnetons per cell
- VASP energy: -8.978 eV/atom



(9)
This record from Alexandria describes a geometry-optimized FeNiSn3 structure. The functional is PBE.

Geometry as extended XYZ:
```
5
Lattice="4.872 0.000 0.000 0.000 4.872 0.000 0.000 0.000 4.872" Properties=species:S:1:pos:R:3 pbc="T T T"
Sn 0.000 2.436 0.000
Ni 0.000 0.000 0.000
Sn 0.000 0.000 2.436
Fe 2.436 2.436 2.436
Sn 2.436 0.000 0.000
```

Values from the calculation:
- Formation enthalpy at 0 K: 583 meV/atom
- Magnetization: 2.90 Bohr magnetons per cell
- VASP energy: -4.668 eV/atom



(10)
This record from Alexandria describes a geometry-optimized Ti2Al8Pd structure. The functional is PBE.

Geometry as extended XYZ:
```
11
Lattice="-2.933 2.481 1.008 -3.402 -2.552 -3.619 1.202 -4.970 7.909" Properties=species:S:1:pos:R:3 pbc="T T T"
Al -2.035 -4.315 4.702
Al -0.204 -2.718 6.099
Al -2.623 -2.200 -2.218
Al -3.890 -2.594 2.892
Al -4.929 -2.323 -0.801
Al -1.244 -2.448 2.406
Pd -1.466 1.240 0.504
Al -2.510 -2.841 7.516
Ti -2.868 -3.553 0.400
Ti -2.265 -1.488 4.898
Al -3.098 -0.726 0.596
```

Values from the calculation:
- Formation enthalpy at 0 K: -309 meV/atom
- Magnetization: 0.00 Bohr magnetons per cell
- VASP energy: -4.938 eV/atom



(11)
This record from Alexandria describes a geometry-optimized Pu2Ni3P4Ru structure. The functional is PBE.

Geometry as extended XYZ:
```
10
Lattice="-3.740 -0.593 1.307 0.404 -3.936 -0.627 3.173 -1.045 8.605" Properties=species:S:1:pos:R:3 pbc="T T T"
Pu -1.120 -0.543 2.688
P 1.339 -2.342 2.769
P 0.167 -0.967 6.176
Ni 0.945 -1.223 8.286
Ru -0.081 -2.786 4.642
Ni 1.587 -0.522 4.302
P -1.668 -2.264 0.340
Pu 2.625 -2.766 6.257
Ni 0.561 -2.086 0.659
P 0.000 0.000 0.000
```

Values from the calculation:
- Formation enthalpy at 0 K: -828 meV/atom
- Magnetization: 10.57 Bohr magnetons per cell
- VASP energy: -8.521 eV/atom



(12)
This record from Alexandria describes a geometry-optimized Er8Ge3AsS4 structure. The functional is PBE.

Geometry as extended XYZ:
```
16
Lattice="8.030 0.000 0.000 0.000 7.996 -0.029 -4.015 -4.011 5.680" Properties=species:S:1:pos:R:3 pbc="T T T"
Ge 2.008 1.992 2.826
Er 4.015 0.018 2.830
Er -1.994 1.975 5.641
S 2.008 -2.006 2.840
Er 6.009 2.010 0.010
As 0.000 3.998 -0.015
S 0.000 0.000 0.000
Er 2.021 2.010 0.010
Ge 4.015 3.998 -0.015
Er 1.994 1.975 5.641
Er 0.000 0.002 2.839
Er 0.000 3.967 2.821
S 4.015 0.000 0.000
Er 4.015 3.983 2.812
S -2.008 -2.006 2.840
Ge -2.008 1.992 2.826
```

Values from the calculation:
- Magnetization: 0.00 Bohr magnetons per cell
- VASP energy: -5.999 eV/atom
- Uncorrected formation energy: -1.53 eV per atom



(13)
This record from Alexandria describes a geometry-optimized K2CaPrO4 structure. The functional is PBE.

Geometry as extended XYZ:
```
8
Lattice="-0.027 1.342 -3.397 -5.789 -1.995 -0.743 -4.040 4.851 1.948" Properties=species:S:1:pos:R:3 pbc="T T T"
Ca -4.914 1.428 0.603
O -2.563 1.014 0.421
K 0.000 0.000 0.000
O -5.514 0.675 -1.654
O -7.266 1.842 0.785
O -4.342 3.523 -0.538
Pr -2.033 3.097 -0.724
K -2.908 -0.327 -2.070
```

Values from the calculation:
- Magnetization: 1.05 Bohr magnetons per cell
- VASP energy: -5.803 eV/atom
- Uncorrected formation energy: -2.20 eV per atom



(14)
This record from Alexandria describes a geometry-optimized Tm3ZrPb2 structure. The functional is PBE.

Geometry as extended XYZ:
```
6
Lattice="-3.216 1.526 -2.674 -3.038 -0.940 3.117 0.940 7.606 3.209" Properties=species:S:1:pos:R:3 pbc="T T T"
Pb -0.934 6.221 0.966
Pb -1.253 1.678 2.465
Tm -1.293 3.312 -0.262
Zr -3.127 0.293 0.221
Tm -0.894 4.587 3.692
Tm 0.000 0.000 0.000
```

Values from the calculation:
- Formation enthalpy at 0 K: -360 meV/atom
- Magnetization: 0.53 Bohr magnetons per cell
- VASP energy: -5.257 eV/atom



(15)
This record from Alexandria describes a geometry-optimized GdScH2 structure. The functional is PBE.

Geometry as extended XYZ:
```
4
Lattice="3.419 0.000 0.000 1.709 2.961 0.000 1.709 0.987 5.823" Properties=species:S:1:pos:R:3 pbc="T T T"
H 5.128 2.961 2.250
Sc 3.419 1.974 2.912
Gd 0.000 0.000 0.000
H 1.709 0.987 3.574
```

Values from the calculation:
- Magnetization: 7.22 Bohr magnetons per cell
- VASP energy: -7.243 eV/atom



(16)
This record from Alexandria describes a geometry-optimized PuH8Rh2 structure. The functional is PBE.

Geometry as extended XYZ:
```
11
Lattice="-2.251 0.203 3.682 -3.628 0.646 -2.254 2.162 -5.483 -0.911" Properties=species:S:1:pos:R:3 pbc="T T T"
H -4.793 -0.935 1.042
Pu -2.940 0.425 0.714
H -1.576 -1.399 0.261
H -3.561 -1.046 -0.972
H -2.808 -1.288 2.275
H -0.910 -3.345 -1.759
H -2.141 -3.234 0.255
Rh -1.515 -2.428 1.742
H -0.156 -3.588 1.488
H 1.075 -3.699 -0.526
Rh -2.203 -2.206 -1.226
```

Values from the calculation:
- Magnetization: 5.93 Bohr magnetons per cell
- VASP energy: -5.134 eV/atom



(17)
This record from Alexandria describes a geometry-optimized PrNd2ThBi4 structure. The functional is PBE.

Geometry as extended XYZ:
```
8
Lattice="-4.085 -1.647 1.394 3.729 -5.211 4.769 -1.361 6.769 4.005" Properties=species:S:1:pos:R:3 pbc="T T T"
Bi -1.443 -0.442 2.903
Th -0.178 -3.429 3.082
Bi 2.451 -2.209 4.571
Bi -0.083 3.767 4.204
Nd 1.184 0.779 4.387
Nd -2.723 2.561 2.700
Pr 0.000 0.000 0.000
Bi -0.275 0.353 7.266
```

Values from the calculation:
- Formation enthalpy at 0 K: -875 meV/atom
- Magnetization: 0.00 Bohr magnetons per cell
- VASP energy: -5.532 eV/atom



(18)
This record from Alexandria describes a geometry-optimized Ce2Re3Si5 structure. The functional is PBE.

Geometry as extended XYZ:
```
40
Lattice="-2.336 -9.661 4.790 7.778 1.885 7.596 -3.798 2.534 3.260" Properties=species:S:1:pos:R:3 pbc="T T T"
Ce -0.853 -2.343 5.655
Si 1.753 -3.242 7.024
Ce -0.310 -8.486 6.237
Ce 5.412 -5.620 10.675
Si -3.073 -4.279 6.988
Re -1.069 0.347 3.311
Si 4.716 -0.963 8.658
Re 1.315 -5.350 5.692
Si -0.714 0.841 5.756
Re 4.126 -2.427 6.694
Si 3.650 -0.793 4.869
Si 1.791 -6.983 7.516
Si -0.109 -2.000 8.621
Re -2.118 -4.197 3.210
Ce -0.319 -5.061 8.391
Si 4.088 -3.507 12.316
Re -2.941 -6.774 6.668
Ce 2.496 -2.899 9.990
Si -1.174 -5.546 5.358
Si 0.459 -4.816 11.519
Si 2.818 0.304 10.287
Si 3.367 2.318 6.947
Ce 5.752 0.710 6.149
Ce 1.963 -0.181 7.255
Re 2.098 -2.732 4.569
Si 0.324 -4.244 3.678
Si -1.723 -7.561 8.698
Re 2.939 1.576 4.613
Si -2.867 1.913 2.461
Si -0.931 0.621 0.799
Si 2.357 -6.083 9.889
Re 4.585 1.532 8.978
Re 1.041 2.843 6.243
Si -2.444 -1.735 3.329
Si 5.117 -3.532 8.708
Re 3.344 -5.044 7.817
Ce 0.029 -2.157 1.711
Re -4.016 -2.930 4.840
Si 1.185 -0.427 4.126
Re 2.713 -5.589 12.334
```

Values from the calculation:
- Magnetization: 0.00 Bohr magnetons per cell
- VASP energy: -8.241 eV/atom
- Uncorrected formation energy: -0.61 eV per atom



(19)
This record from Alexandria describes a geometry-optimized Rb2SrCa2 structure. The functional is PBE.

Geometry as extended XYZ:
```
10
Lattice="-6.956 -9.285 1.408 7.456 -6.526 -6.198 2.187 -1.069 3.756" Properties=species:S:1:pos:R:3 pbc="T T T"
Ca 3.919 -9.307 -4.930
Ca -3.419 -6.504 0.140
Rb 0.178 -4.686 1.229
Ca 2.031 -3.588 -2.203
Rb -2.224 -10.270 1.039
Ca -1.532 -12.223 -2.586
Rb 2.507 -12.193 -2.263
Sr 0.000 0.000 0.000
Sr 0.250 -7.905 -2.395
Rb 4.910 -6.609 -2.073
```

Values from the calculation:
- Formation enthalpy at 0 K: 303 meV/atom
- Magnetization: 0.00 Bohr magnetons per cell
- VASP energy: -1.221 eV/atom



(20)
This record from Alexandria describes a geometry-optimized ThAl7Zn5 structure. The functional is PBE.

Geometry as extended XYZ:
```
13
Lattice="4.842 0.000 1.989 2.417 6.525 1.004 -0.058 0.032 7.030" Properties=species:S:1:pos:R:3 pbc="T T T"
Th 4.830 0.032 2.018
Al 3.961 2.328 4.135
Zn 4.807 6.523 5.528
Al 1.545 4.208 3.128
Al 1.884 1.417 2.301
Zn 5.315 5.146 7.728
Zn 3.582 3.308 8.511
Zn 7.223 6.523 6.520
Al 2.904 1.454 6.708
Al 0.825 2.320 4.880
Al 4.296 5.106 3.319
Al 3.244 4.222 5.882
Zn 5.997 3.308 9.503
```

Values from the calculation:
- Formation enthalpy at 0 K: -101 meV/atom
- Magnetization: 0.00 Bohr magnetons per cell
- VASP energy: -3.177 eV/atom